DFT (GGA-PBE) results for an optimized crystal structure of PmMnAs2Rh5.

total DFT energy (no corrections): -7.018 eV per atom
DOS(E_F): 5.80 states/eV/cell

Lattice parameters (Å, degrees): 4.0247 4.0247 10.4659 90.00 90.00 90.00
Closest atoms and distances in Å follow each position.
Atoms (fractional coordinates):
1 Rh 0.5000 0.0000 0.8538  2 As 2.41, 2 Mn 2.53
2 Rh 0.5000 0.5000 0.5000  2 As 2.38
3 Rh 0.5000 0.0000 0.1462  2 As 2.41, 2 Mn 2.53
4 Rh 0.0000 0.5000 0.1462  2 As 2.41, 2 Mn 2.53
5 Rh 0.0000 0.5000 0.8538  2 As 2.41, 2 Mn 2.53
6 As 0.5000 0.5000 0.7278  5 Rh 2.38-2.41
7 As 0.5000 0.5000 0.2722  5 Rh 2.38-2.41
8 Pm 0.0000 0.0000 0.5000  4 Rh 2.85
9 Mn 0.0000 0.0000 0.0000  8 Rh 2.53